(1)
{
  "formula": "CrOsSe2",
  "functional": "PBE",
  "state": "optimized geometry",
  "lattice_angstrom": [[0.000, 3.080, 3.080], [3.080, 0.000, 3.080], [3.080, 3.080, 0.000]],
  "species": ["Cr", "Os", "Se", "Se"],
  "frac_coords": [[0.000, 0.000, 0.000], [0.500, 0.500, 0.500], [0.250, 0.250, 0.250], [0.750, 0.750, 0.750]],
  "dft_energy_ev_per_cell": -25.86
}

(2)
{
  "formula": "LiY2Sb",
  "functional": "PBE",
  "state": "optimized geometry",
  "lattice_angstrom": [[0.000, 3.728, 3.728], [3.728, 0.000, 3.728], [3.728, 3.728, 0.000]],
  "species": ["Li", "Y", "Y", "Sb"],
  "frac_coords": [[0.000, 0.000, 0.000], [0.500, 0.500, 0.500], [0.750, 0.750, 0.750], [0.250, 0.250, 0.250]],
  "dft_energy_ev_per_cell": -19.33
}

(3)
{
  "formula": "SbTe2PtN",
  "functional": "PBE",
  "state": "optimized geometry",
  "lattice_angstrom": [[4.665, 0.000, 0.000], [0.000, 4.665, 0.000], [0.000, 0.000, 4.752]],
  "species": ["Sb", "Te", "Te", "Pt", "N"],
  "frac_coords": [[0.000, 0.000, 0.000], [0.000, 0.500, 0.500], [0.500, 0.000, 0.500], [0.500, 0.500, 0.000], [0.000, 0.000, 0.500]],
  "dft_energy_ev_per_cell": -20.79
}